DFT (GGA-PBE) results for crystalline NaPmSm2 at its relaxed geometry.

CIF file:
```
data_NaPmSm2
_chemical_formula_sum 'Na1 Pm1 Sm2'
_space_group_name_H-M_alt 'P 4/m m m'
_space_group_IT_number 123
_space_group_name_Hall '-P 4 2'
_cell_length_a 3.5700
_cell_length_b 3.5700
_cell_length_c 10.8542
_cell_angle_alpha 90.00
_cell_angle_beta 90.00
_cell_angle_gamma 90.00
loop_
_atom_site_label
_atom_site_fract_x
_atom_site_fract_y
_atom_site_fract_z
_atom_site_occupancy
Na1 0.0000 0.0000 0.0000 1
Pm1 0.0000 0.0000 0.5000 1
Sm1 0.5000 0.5000 0.2658 1
```

Results
Its excess energy over the best structure of this formula in the dataset is 3 meV/atom. The formation enthalpy at 0 K is 0.46 eV per formula unit. Its volume is 34.6 A^3/atom. The spin magnetization is 0.00 μB per cell.